Entry from the Alexandria database: a relaxed CoBiN2O crystal (PBE with a Hubbard U).

Final energy (eV per atom): -5.517
ρ (g/cm³): 8.97
Size of the total moment (μB per formula unit): 3.2

a = 3.7018 Å, b = 3.7018 Å, c = 4.2156 Å
α = 90.00°, β = 90.00°, γ = 90.00°
Space group P4/mmm (No. 123)
One atom of each set of equivalent atoms:
Co 0.0000 0.0000 0.0000 (multiplicity 1)
Bi 0.5000 0.5000 0.5000 (multiplicity 1)
N 0.0000 0.5000 0.0000 (multiplicity 2)
O 0.0000 0.0000 0.5000 (multiplicity 1)